Record 1
A plane-wave DFT calculation with SCAN was carried out for a PBEsol-optimized structure of LiTiRe2Mo.

Calculated values
symmetry = P4/mmm (123)

Unit cell a=4.656 b=4.656 c=4.690 alpha=90.00 beta=90.00 gamma=90.00
Atoms (fractional coordinates):
Li  0.000  0.000  0.000
Ti  0.500  0.500  0.000
Re  0.000  0.500  0.500
Re  0.500  0.000  0.500
Mo  0.500  0.500  0.500

Record 2
A plane-wave DFT calculation with SCAN was carried out for a PBEsol-optimized structure of LiMoRh.

Calculated values
symmetry = Imm2 (44)

Unit cell a=2.661 b=4.023 c=7.512 alpha=90.00 beta=90.00 gamma=90.00
Atoms (fractional coordinates):
Li  0.000  0.000  0.000
Li  0.500  0.500  0.500
Mo  0.000  0.000  0.670
Mo  0.500  0.500  0.170
Rh  0.000  0.000  0.341
Rh  0.500  0.500  0.841

Record 3
A plane-wave DFT calculation with SCAN was carried out for a PBEsol-optimized structure of LiMoRh2.

Calculated values
symmetry = I4/mmm (139)
distance to the lowest polymorph of the same formula = 0 meV/atom

Unit cell a=4.017 b=4.017 c=6.626 alpha=90.00 beta=90.00 gamma=90.00
Atoms (fractional coordinates):
Li  0.000  0.000  0.000
Li  0.500  0.500  0.500
Mo  0.000  0.000  0.500
Mo  0.500  0.500  0.000
Rh  0.000  0.500  0.250
Rh  0.000  0.500  0.750
Rh  0.500  0.000  0.250
Rh  0.500  0.000  0.750

Record 4
A plane-wave DFT calculation with SCAN was carried out for a PBEsol-optimized structure of LiMoRh2.

Calculated values
symmetry = R-3m (166)
distance to the lowest polymorph of the same formula = 89 meV/atom

Unit cell a=2.729 b=2.729 c=25.964 alpha=90.00 beta=90.00 gamma=120.00
Atoms (fractional coordinates):
Li  0.000  0.000  0.000
Li  0.333  0.667  0.667
Li  0.667  0.333  0.333
Mo  0.000  0.000  0.500
Mo  0.333  0.667  0.167
Mo  0.667  0.333  0.833
Rh  0.000  0.000  0.249
Rh  0.000  0.000  0.751
Rh  0.333  0.667  0.418
Rh  0.333  0.667  0.915
Rh  0.667  0.333  0.085
Rh  0.667  0.333  0.582

Record 5
A plane-wave DFT calculation with SCAN was carried out for a PBEsol-optimized structure of LiMo2Rh.

Calculated values
symmetry = I4/mmm (139)
distance to the lowest polymorph of the same formula = 0 meV/atom

Unit cell a=3.611 b=3.611 c=8.470 alpha=90.00 beta=90.00 gamma=90.00
Atoms (fractional coordinates):
Li  0.000  0.000  0.000
Li  0.500  0.500  0.500
Mo  0.000  0.500  0.250
Mo  0.000  0.500  0.750
Mo  0.500  0.000  0.250
Mo  0.500  0.000  0.750
Rh  0.000  0.000  0.500
Rh  0.500  0.500  0.000

Record 6
A plane-wave DFT calculation with SCAN was carried out for a PBEsol-optimized structure of LiMoRh2.

Calculated values
symmetry = Fm-3m (225)
distance to the lowest polymorph of the same formula = 22 meV/atom

Unit cell a=5.985 b=5.985 c=5.985 alpha=90.00 beta=90.00 gamma=90.00
Atoms (fractional coordinates):
Li  0.000  0.000  0.000
Li  0.000  0.500  0.500
Li  0.500  0.000  0.500
Li  0.500  0.500  0.000
Mo  0.000  0.000  0.500
Mo  0.000  0.500  0.000
Mo  0.500  0.000  0.000
Mo  0.500  0.500  0.500
Rh  0.250  0.250  0.250
Rh  0.250  0.250  0.750
Rh  0.250  0.750  0.250
Rh  0.250  0.750  0.750
Rh  0.750  0.250  0.250
Rh  0.750  0.250  0.750
Rh  0.750  0.750  0.250
Rh  0.750  0.750  0.750

Record 7
A plane-wave DFT calculation with SCAN was carried out for a PBEsol-optimized structure of LiMo2Rh.

Calculated values
symmetry = Imm2 (44)
distance to the lowest polymorph of the same formula = 14 meV/atom

Unit cell a=3.041 b=4.491 c=8.374 alpha=90.00 beta=90.00 gamma=90.00
Atoms (fractional coordinates):
Li  0.000  0.000  0.000
Li  0.500  0.500  0.500
Mo  0.000  0.000  0.498
Mo  0.000  0.500  0.772
Mo  0.500  0.000  0.272
Mo  0.500  0.500  0.998
Rh  0.000  0.500  0.251
Rh  0.500  0.000  0.751

Record 8
A plane-wave DFT calculation with SCAN was carried out for a PBEsol-optimized structure of LiMoRh2.

Calculated values
symmetry = P4/mmm (123)
distance to the lowest polymorph of the same formula = 6 meV/atom

Unit cell a=2.860 b=2.860 c=6.362 alpha=90.00 beta=90.00 gamma=90.00
Atoms (fractional coordinates):
Li  0.000  0.000  0.000
Mo  0.000  0.000  0.500
Rh  0.500  0.500  0.231
Rh  0.500  0.500  0.769

It is found that the energy of formation values, taken in the order of the records, are 1.56, 0.03, -0.20, -0.11, 0.16, -0.17, 0.17, -0.19 eV per atom.
It is found that the total magnetic moment values, taken in the order of the records, are 0.01, 0.00, 0.00, 0.00, 0.00, 0.05, 0.00, 0.00 μB/cell.